Entry 1:
A relaxed structure of MgZrH. Source: the Alexandria database, functional PBE.

Values from the calculation:
Polymorph energy (0 for the lowest one) = 267.9 meV/atom

Structure (CIF):
```
data_MgZrH
_cell_length_a 3.1509
_cell_length_b 12.3402
_cell_length_c 5.3037
_cell_angle_alpha 90.00
_cell_angle_beta 90.00
_cell_angle_gamma 90.00
_space_group_name_H-M_alt 'C m c m'
_space_group_IT_number 63
_space_group_name_Hall '-C 2c 2'
loop_
_atom_site_label
_atom_site_type_symbol
_atom_site_fract_x
_atom_site_fract_y
_atom_site_fract_z
Mg1 Mg 0.0000 0.1964 0.2500
Zr1 Zr 0.0000 0.0527 0.7500
H1 H 0.0000 0.3537 0.2500
```

=====

Entry 2:
A relaxed structure of Mg3Zr5H12. Source: the Alexandria database, functional PBE.

Values from the calculation:
Electronic total energy = -4.667 eV per atom

Structure (CIF):
```
data_Mg3Zr5H12
_cell_length_a 12.0049
_cell_length_b 12.0049
_cell_length_c 12.0049
_cell_angle_alpha 90.00
_cell_angle_beta 90.00
_cell_angle_gamma 90.00
_space_group_name_H-M_alt 'I a -3 d'
_space_group_IT_number 230
_space_group_name_Hall '-I 4bd 2c 3'
loop_
_atom_site_label
_atom_site_type_symbol
_atom_site_fract_x
_atom_site_fract_y
_atom_site_fract_z
Mg1 Mg 0.0000 0.2500 0.1250
Zr1 Zr 0.0000 0.0000 0.0000
Zr2 Zr 0.0000 0.2500 0.3750
H1 H 0.0020 0.0541 0.1593
```

=====

Entry 3:
A relaxed structure of MnH. Source: the Alexandria database, functional PBE.

Values from the calculation:
Electronic total energy = -6.046 eV per atom

Structure (CIF):
```
data_MnH
_cell_length_a 4.4815
_cell_length_b 4.4815
_cell_length_c 2.8278
_cell_angle_alpha 90.00
_cell_angle_beta 90.00
_cell_angle_gamma 90.00
_space_group_name_H-M_alt 'P 42/m n m'
_space_group_IT_number 136
_space_group_name_Hall '-P 4n 2n'
loop_
_atom_site_label
_atom_site_type_symbol
_atom_site_fract_x
_atom_site_fract_y
_atom_site_fract_z
Mn1 Mn 0.2053 0.2053 0.0000
H1 H 0.1639 0.8361 0.0000
```

=====

Entry 4:
A relaxed structure of MnH. Source: the Alexandria database, functional PBE.

Values from the calculation:
Electronic total energy = -6.100 eV per atom

Structure (CIF):
```
data_MnH
_cell_length_a 7.0420
_cell_length_b 7.0420
_cell_length_c 2.5692
_cell_angle_alpha 90.00
_cell_angle_beta 90.00
_cell_angle_gamma 90.00
_space_group_name_H-M_alt 'I 4/m'
_space_group_IT_number 87
_space_group_name_Hall '-I 4'
loop_
_atom_site_label
_atom_site_type_symbol
_atom_site_fract_x
_atom_site_fract_y
_atom_site_fract_z
Mn1 Mn 0.1273 0.3444 0.0000
H1 H 0.0988 0.7923 0.0000
```